Arrangement P

Entry from Alexandria: a geometry-optimized BaPPbCl2 structure (GGA-PBE).

For the density, the calculation gives 3.797 g/cm3.

The structure belongs to space group P4/mmm (No. 123); the cell edges are 5.632, 5.632 and 6.155 Å and the angles 90.00°, 90.00° and 90.00°. The inequivalent atoms are Ba at (0.000, 0.000, 0.000), P at (0.500, 0.500, 0.000), Pb at (0.500, 0.500, 0.500) and Cl at (0.000, 0.500, 0.500).

=====

Arrangement Q

Entry from Alexandria: a geometry-optimized BaPPbCl2 structure (GGA-PBE).

For the density, the calculation gives 3.558 g/cm3.

The structure belongs to space group P4/mmm (No. 123); the cell edges are 5.717, 5.717 and 6.374 Å and the angles 90.00°, 90.00° and 90.00°. The inequivalent atoms are Ba at (0.000, 0.000, 0.000), P at (0.000, 0.000, 0.500), Pb at (0.500, 0.500, 0.500) and Cl at (0.000, 0.500, 0.000).

=====

It comes down to arrangement P, which is 288 meV per atom more stable than the next structure.

=====

Arrangement P

Entry from Alexandria: a geometry-optimized BaP2PbCl structure (GGA-PBE).

For the density, the calculation gives 3.752 g/cm3.

The structure belongs to space group P4/mmm (No. 123); the cell edges are 5.814, 5.814 and 5.785 Å and the angles 90.00°, 90.00° and 90.00°. The inequivalent atoms are Ba at (0.000, 0.000, 0.000), P at (0.000, 0.500, 0.000), Pb at (0.500, 0.500, 0.500) and Cl at (0.000, 0.000, 0.500).

=====

Arrangement Q

Entry from Alexandria: a geometry-optimized BaP2PbCl structure (GGA-PBE).

For the density, the calculation gives 4.396 g/cm3.

The structure belongs to space group P4/mmm (No. 123); the cell edges are 5.401, 5.401 and 5.723 Å and the angles 90.00°, 90.00° and 90.00°. The inequivalent atoms are Ba at (0.000, 0.000, 0.000), P at (0.000, 0.500, 0.500), Pb at (0.500, 0.500, 0.500) and Cl at (0.500, 0.500, 0.000).

=====

It comes down to arrangement Q, which is 667 meV per atom more stable than the next structure.

=====

Arrangement P

Entry from Alexandria: a geometry-optimized BaPPdCl2 structure (GGA-PBE).

For the density, the calculation gives 2.501 g/cm3.

The structure belongs to space group P4/mmm (No. 123); the cell edges are 5.931, 5.931 and 6.523 Å and the angles 90.00°, 90.00° and 90.00°. The inequivalent atoms are Ba at (0.000, 0.000, 0.000), P at (0.000, 0.000, 0.500), Pd at (0.500, 0.500, 0.500) and Cl at (0.000, 0.500, 0.000).

=====

Arrangement Q

Entry from Alexandria: a geometry-optimized BaPPdCl2 structure (GGA-PBE).

For the density, the calculation gives 4.590 g/cm3.

The structure belongs to space group P4/mmm (No. 123); the cell edges are 5.171, 5.171 and 4.676 Å and the angles 90.00°, 90.00° and 90.00°. The inequivalent atoms are Ba at (0.000, 0.000, 0.000), P at (0.500, 0.500, 0.000), Pd at (0.500, 0.500, 0.500) and Cl at (0.000, 0.500, 0.500).

=====

It comes down to arrangement Q, which is 893 meV per atom more stable than the next structure.

=====

Arrangement P

Entry from Alexandria: a geometry-optimized BaRePCl2 structure (GGA-PBE).

For the density, the calculation gives 5.936 g/cm3.

The structure belongs to space group P4/mmm (No. 123); the cell edges are 5.073, 5.073 and 4.624 Å and the angles 90.00°, 90.00° and 90.00°. The inequivalent atoms are Ba at (0.000, 0.000, 0.000), Re at (0.500, 0.500, 0.500), P at (0.500, 0.500, 0.000) and Cl at (0.000, 0.500, 0.500).

=====

Arrangement Q

Entry from Alexandria: a geometry-optimized BaRePCl2 structure (GGA-PBE).

For the density, the calculation gives 3.172 g/cm3.

The structure belongs to space group P4/mmm (No. 123); the cell edges are 5.833, 5.833 and 6.546 Å and the angles 90.00°, 90.00° and 90.00°. The inequivalent atoms are Ba at (0.000, 0.000, 0.000), Re at (0.500, 0.500, 0.500), P at (0.000, 0.000, 0.500) and Cl at (0.000, 0.500, 0.000).

=====

It comes down to arrangement P, which is 1341 meV per atom more stable than the next structure.

=====

Arrangement P

Entry from Alexandria: a geometry-optimized BaP2RhCl structure (GGA-PBE).

For the density, the calculation gives 2.434 g/cm3.

The structure belongs to space group P4/mmm (No. 123); the cell edges are 6.299, 6.299 and 5.806 Å and the angles 90.00°, 90.00° and 90.00°. The inequivalent atoms are Ba at (0.000, 0.000, 0.000), P at (0.000, 0.500, 0.000), Rh at (0.500, 0.500, 0.500) and Cl at (0.000, 0.000, 0.500).

=====

Arrangement Q

Entry from Alexandria: a geometry-optimized BaP2RhCl structure (GGA-PBE).

For the density, the calculation gives 4.287 g/cm3.

The structure belongs to space group P4/mmm (No. 123); the cell edges are 4.499, 4.499 and 6.461 Å and the angles 90.00°, 90.00° and 90.00°. The inequivalent atoms are Ba at (0.000, 0.000, 0.000), P at (0.000, 0.500, 0.500), Rh at (0.500, 0.500, 0.500) and Cl at (0.500, 0.500, 0.000).

=====

It comes down to arrangement Q, which is 1916 meV per atom more stable than the next structure.

=====

Arrangement P

Entry from Alexandria: a geometry-optimized BaP2RuCl structure (GGA-PBE).

For the density, the calculation gives 2.826 g/cm3.

The structure belongs to space group P4/mmm (No. 123); the cell edges are 5.892, 5.892 and 5.684 Å and the angles 90.00°, 90.00° and 90.00°. The inequivalent atoms are Ba at (0.000, 0.000, 0.000), P at (0.000, 0.500, 0.000), Ru at (0.500, 0.500, 0.500) and Cl at (0.000, 0.000, 0.500).

=====

Arrangement Q

Entry from Alexandria: a geometry-optimized BaP2RuCl structure (GGA-PBE).

For the density, the calculation gives 4.694 g/cm3.

The structure belongs to space group P4/mmm (No. 123); the cell edges are 4.559, 4.559 and 5.715 Å and the angles 90.00°, 90.00° and 90.00°. The inequivalent atoms are Ba at (0.000, 0.000, 0.000), P at (0.000, 0.500, 0.500), Ru at (0.500, 0.500, 0.500) and Cl at (0.500, 0.500, 0.000).

=====

It comes down to arrangement Q, which is 2062 meV per atom more stable than the next structure.

=====

Arrangement P

Entry from Alexandria: a geometry-optimized BaPSCl2 structure (GGA-PBE).

For the density, the calculation gives 1.926 g/cm3.

The structure belongs to space group P4/mmm (No. 123); the cell edges are 5.929, 5.929 and 6.654 Å and the angles 90.00°, 90.00° and 90.00°. The inequivalent atoms are Ba at (0.000, 0.000, 0.000), P at (0.500, 0.500, 0.500), S at (0.000, 0.000, 0.500) and Cl at (0.000, 0.500, 0.000).

=====

Arrangement Q

Entry from Alexandria: a geometry-optimized BaPSCl2 structure (GGA-PBE).

For the density, the calculation gives 3.093 g/cm3.

The structure belongs to space group P4/mmm (No. 123); the cell edges are 5.927, 5.927 and 4.145 Å and the angles 90.00°, 90.00° and 90.00°. The inequivalent atoms are Ba at (0.000, 0.000, 0.000), P at (0.500, 0.500, 0.000), S at (0.500, 0.500, 0.500) and Cl at (0.000, 0.500, 0.500).

=====

Arrangement R

Entry from Alexandria: a geometry-optimized BaPSCl2 structure (GGA-PBE).

For the density, the calculation gives 3.653 g/cm3.

The structure belongs to space group P4/mmm (No. 123); the cell edges are 4.937, 4.937 and 5.060 Å and the angles 90.00°, 90.00° and 90.00°. The inequivalent atoms are Ba at (0.000, 0.000, 0.000), P at (0.500, 0.500, 0.500), S at (0.500, 0.500, 0.000) and Cl at (0.000, 0.500, 0.500).

=====

It comes down to arrangement R, which is 376 meV per atom more stable than the next structure.

=====

Arrangement P

Entry from Alexandria: a geometry-optimized BaScP2Cl structure (GGA-PBE).

For the density, the calculation gives 3.515 g/cm3.

The structure belongs to space group P4/mmm (No. 123); the cell edges are 4.970, 4.970 and 5.349 Å and the angles 90.00°, 90.00° and 90.00°. The inequivalent atoms are Ba at (0.000, 0.000, 0.000), Sc at (0.500, 0.500, 0.500), P at (0.000, 0.500, 0.500) and Cl at (0.500, 0.500, 0.000).

=====

Arrangement Q

Entry from Alexandria: a geometry-optimized BaScP2Cl structure (GGA-PBE).

For the density, the calculation gives 2.736 g/cm3.

The structure belongs to space group P4/mmm (No. 123); the cell edges are 5.549, 5.549 and 5.513 Å and the angles 90.00°, 90.00° and 90.00°. The inequivalent atoms are Ba at (0.000, 0.000, 0.000), Sc at (0.500, 0.500, 0.500), P at (0.000, 0.500, 0.000) and Cl at (0.000, 0.000, 0.500).

=====

Arrangement R

Entry from Alexandria: a geometry-optimized BaScP2Cl structure (GGA-PBE).

For the density, the calculation gives 3.314 g/cm3.

The structure belongs to space group P4/mmm (No. 123); the cell edges are 5.104, 5.104 and 5.380 Å and the angles 90.00°, 90.00° and 90.00°. The inequivalent atoms are Ba at (0.000, 0.000, 0.000), Sc at (0.500, 0.500, 0.000), P at (0.000, 0.500, 0.500) and Cl at (0.000, 0.000, 0.500).

=====

It comes down to arrangement P, which is 1537 meV per atom more stable than the next structure.